DFT (PBE) results for crystalline In2IrI at its relaxed geometry.

Results
- Spin magnetization: 0.000 μB per formula unit
- Energy relative to the lowest polymorph listed for this composition: 0 meV per atom
- Crystal system: tetragonal
- Formation energy (no corrections): 0.244 eV per atom
- Symmetry: I-42d, No. 122

Cell: 8.569 8.569 8.569 Å, 137.10 137.10 62.29°
Fractional positions:
In 0.018 0.625 0.893
In 0.375 0.268 0.393
In 0.732 0.125 0.107
In 0.875 0.982 0.607
Ir 0.000 0.000 0.000
Ir 0.750 0.250 0.500
I 0.250 0.750 0.500
I 0.500 0.500 0.000



DFT (PBE) results for crystalline Cs2Na2PuO4 at its relaxed geometry.

Results
- Spin magnetization: 4.000 μB per formula unit
- Crystal system: monoclinic
- Formation energy (no corrections): -1.787 eV per atom
- Symmetry: C2/m, No. 12

Cell: 7.228 7.228 7.082 Å, 110.34 110.34 30.02°
Fractional positions:
Cs 0.136 0.136 0.032
Cs 0.864 0.864 0.968
Na 0.324 0.324 0.537
Na 0.676 0.676 0.463
Pu 0.000 0.000 0.500
O 0.170 0.170 0.628
O 0.495 0.495 0.701
O 0.505 0.505 0.299
O 0.830 0.830 0.372



DFT (PBE) results for crystalline HoNb2CrC4 at its relaxed geometry.

Results
- Formation energy from the elements: -0.31 eV per atom
- Spin magnetization: 0.000 μB per formula unit
- Crystal system: orthorhombic
- Symmetry: Cmcm, No. 63

Cell: 5.800 5.800 11.020 Å, 90.00 90.00 148.01°
Fractional positions:
Ho 0.102 0.898 0.750
Ho 0.898 0.102 0.250
Nb 0.370 0.630 0.540
Nb 0.370 0.630 0.960
Nb 0.630 0.370 0.040
Nb 0.630 0.370 0.460
Cr 0.164 0.836 0.250
Cr 0.836 0.164 0.750
C 0.000 0.000 0.000
C 0.000 0.000 0.500
C 0.265 0.735 0.119
C 0.265 0.735 0.381
C 0.433 0.567 0.750
C 0.567 0.433 0.250
C 0.735 0.265 0.619
C 0.735 0.265 0.881



DFT (PBE) results for crystalline TiCuPtO6 at its relaxed geometry.

Results
- Spin magnetization: 0.035 μB per formula unit
- Crystal system: trigonal
- Formation energy (no corrections): -1.135 eV per atom
- Symmetry: P-31c, No. 163

Cell: 5.038 5.038 8.776 Å, 90.00 90.00 120.00°
Fractional positions:
Ti 0.333 0.667 0.250
Ti 0.667 0.333 0.750
Cu 0.000 0.000 0.000
Cu 0.000 0.000 0.500
Pt 0.333 0.667 0.750
Pt 0.667 0.333 0.250
O 0.005 0.345 0.127
O 0.005 0.660 0.373
O 0.340 0.345 0.373
O 0.340 0.995 0.127
O 0.345 0.005 0.627
O 0.345 0.340 0.873
O 0.655 0.660 0.127
O 0.655 0.995 0.373
O 0.660 0.005 0.873
O 0.660 0.655 0.627
O 0.995 0.340 0.627
O 0.995 0.655 0.873